A plane-wave DFT calculation with GGA-PBEsol was carried out for a relaxed structure of Co2S3.

Results
SG: I4_1/amd, No. 141
Uncorrected formation energy, kJ per mole of atoms: -48.46

abc: 14.4231 14.4231 14.4231
angles: 154.01 154.01 37.09
Last column: nearest neighbours and their distance in Å.
Fractional positions:
Co 0.0000 0.0000 0.0000  6 S 2.20-2.23
Co 0.0000 0.0000 0.5000  6 S 2.20-2.23
Co 0.0000 0.5000 0.0000  6 S 2.20-2.23
Co 0.1644 0.6672 0.4972  6 S 2.19-2.24
Co 0.2079 0.4579 0.7500  4 S 2.09
Co 0.3300 0.3328 0.9972  6 S 2.19-2.24
Co 0.3328 0.3300 0.4972  6 S 2.19-2.24
Co 0.3328 0.8356 0.0028  6 S 2.19-2.24
Co 0.4579 0.2079 0.2500  4 S 2.09
Co 0.5000 0.0000 0.5000  6 S 2.20-2.23
Co 0.5421 0.7921 0.7500  4 S 2.09
Co 0.6672 0.1644 0.9972  6 S 2.19-2.24
Co 0.6672 0.6700 0.5028  6 S 2.19-2.24
Co 0.6700 0.6672 0.0028  6 S 2.19-2.24
Co 0.7921 0.5421 0.2500  4 S 2.09
Co 0.8356 0.3328 0.5028  6 S 2.19-2.24
S 0.0803 0.1011 0.5208  3 Co 2.19-2.20
S 0.0803 0.5595 0.9792  3 Co 2.19-2.20
S 0.1011 0.0803 0.0208  3 Co 2.19-2.20
S 0.1011 0.5855 0.5157  4 Co 2.09-2.24
S 0.2343 0.7482 0.4860  4 Co 2.09-2.23
S 0.2378 0.2518 0.9860  4 Co 2.09-2.23
S 0.2518 0.2378 0.4860  4 Co 2.09-2.23
S 0.2518 0.7657 0.0140  4 Co 2.09-2.23
S 0.4145 0.4302 0.5157  4 Co 2.09-2.24
S 0.4145 0.8989 0.9843  4 Co 2.09-2.24
S 0.4302 0.4145 0.0157  4 Co 2.09-2.24
S 0.4405 0.9197 0.5208  3 Co 2.19-2.20
S 0.5595 0.0803 0.4792  3 Co 2.19-2.20
S 0.5698 0.5855 0.9843  4 Co 2.09-2.24
S 0.5855 0.1011 0.0157  4 Co 2.09-2.24
S 0.5855 0.5698 0.4843  4 Co 2.09-2.24
S 0.7482 0.2343 0.9860  4 Co 2.09-2.23
S 0.7482 0.7622 0.5140  4 Co 2.09-2.23
S 0.7622 0.7482 0.0140  4 Co 2.09-2.23
S 0.7657 0.2518 0.5140  4 Co 2.09-2.23
S 0.8989 0.4145 0.4843  4 Co 2.09-2.24
S 0.8989 0.9197 0.9792  3 Co 2.19-2.20
S 0.9197 0.4405 0.0208  3 Co 2.19-2.20
S 0.9197 0.8989 0.4792  3 Co 2.19-2.20